A plane-wave DFT calculation with GGA-PBE was carried out for a relaxed structure of BeP2PtCl.

Geometry as CIF:
```
data_BeP2PtCl
_symmetry_space_group_name_H-M 'P 1'
_symmetry_Int_Tables_number 1
_symmetry_space_group_name_Hall 'P 1'
_cell_length_a 4.352
_cell_length_b 4.352
_cell_length_c 4.168
_cell_angle_alpha 90.00
_cell_angle_beta 90.00
_cell_angle_gamma 90.00
loop_
_atom_site_label
_atom_site_fract_x
_atom_site_fract_y
_atom_site_fract_z
_atom_site_occupancy
P1 0.000 0.500 0.000 1
P2 0.500 0.000 0.000 1
Be1 0.000 0.000 0.000 1
Pt1 0.500 0.500 0.500 1
Cl1 0.000 0.000 0.500 1
```

A plane-wave DFT calculation with GGA-PBE was carried out for a relaxed structure of RbBePCl2.

Geometry as CIF:
```
data_RbBePCl2
_symmetry_space_group_name_H-M 'P 1'
_symmetry_Int_Tables_number 1
_symmetry_space_group_name_Hall 'P 1'
_cell_length_a 5.265
_cell_length_b 5.265
_cell_length_c 4.295
_cell_angle_alpha 90.00
_cell_angle_beta 90.00
_cell_angle_gamma 90.00
loop_
_atom_site_label
_atom_site_fract_x
_atom_site_fract_y
_atom_site_fract_z
_atom_site_occupancy
P1 0.000 0.000 0.500 1
Be1 0.000 0.000 0.000 1
Rb1 0.500 0.500 0.500 1
Cl1 0.000 0.500 0.000 1
Cl2 0.500 0.000 0.000 1
```

A plane-wave DFT calculation with GGA-PBE was carried out for a relaxed structure of RbBeP2Cl.

Geometry as CIF:
```
data_RbBeP2Cl
_symmetry_space_group_name_H-M 'P 1'
_symmetry_Int_Tables_number 1
_symmetry_space_group_name_Hall 'P 1'
_cell_length_a 4.229
_cell_length_b 4.229
_cell_length_c 7.816
_cell_angle_alpha 90.00
_cell_angle_beta 90.00
_cell_angle_gamma 90.00
loop_
_atom_site_label
_atom_site_fract_x
_atom_site_fract_y
_atom_site_fract_z
_atom_site_occupancy
P1 0.000 0.500 0.000 1
P2 0.500 0.000 0.000 1
Be1 0.000 0.000 0.000 1
Rb1 0.500 0.500 0.500 1
Cl1 0.000 0.000 0.500 1
```

A plane-wave DFT calculation with GGA-PBE was carried out for a relaxed structure of RbBePCl2.

Geometry as CIF:
```
data_RbBePCl2
_symmetry_space_group_name_H-M 'P 1'
_symmetry_Int_Tables_number 1
_symmetry_space_group_name_Hall 'P 1'
_cell_length_a 6.189
_cell_length_b 6.189
_cell_length_c 6.669
_cell_angle_alpha 90.00
_cell_angle_beta 90.00
_cell_angle_gamma 90.00
loop_
_atom_site_label
_atom_site_fract_x
_atom_site_fract_y
_atom_site_fract_z
_atom_site_occupancy
P1 0.000 0.000 0.500 1
Be1 0.500 0.500 0.500 1
Rb1 0.000 0.000 0.000 1
Cl1 0.000 0.500 0.000 1
Cl2 0.500 0.000 0.000 1
```

A plane-wave DFT calculation with GGA-PBE was carried out for a relaxed structure of RbBeP2Cl.

Geometry as CIF:
```
data_RbBeP2Cl
_symmetry_space_group_name_H-M 'P 1'
_symmetry_Int_Tables_number 1
_symmetry_space_group_name_Hall 'P 1'
_cell_length_a 7.485
_cell_length_b 7.485
_cell_length_c 5.997
_cell_angle_alpha 90.00
_cell_angle_beta 90.00
_cell_angle_gamma 90.00
loop_
_atom_site_label
_atom_site_fract_x
_atom_site_fract_y
_atom_site_fract_z
_atom_site_occupancy
P1 0.000 0.500 0.000 1
P2 0.500 0.000 0.000 1
Be1 0.500 0.500 0.500 1
Rb1 0.000 0.000 0.000 1
Cl1 0.000 0.000 0.500 1
```

A plane-wave DFT calculation with GGA-PBE was carried out for a relaxed structure of BeReP2Cl.

Geometry as CIF:
```
data_BeReP2Cl
_symmetry_space_group_name_H-M 'P 1'
_symmetry_Int_Tables_number 1
_symmetry_space_group_name_Hall 'P 1'
_cell_length_a 4.195
_cell_length_b 4.195
_cell_length_c 4.342
_cell_angle_alpha 90.00
_cell_angle_beta 90.00
_cell_angle_gamma 90.00
loop_
_atom_site_label
_atom_site_fract_x
_atom_site_fract_y
_atom_site_fract_z
_atom_site_occupancy
Re1 0.500 0.500 0.500 1
Be1 0.000 0.000 0.000 1
P1 0.000 0.500 0.000 1
P2 0.500 0.000 0.000 1
Cl1 0.000 0.000 0.500 1
```

A plane-wave DFT calculation with GGA-PBE was carried out for a relaxed structure of BeReP2Cl.

Geometry as CIF:
```
data_BeReP2Cl
_symmetry_space_group_name_H-M 'P 1'
_symmetry_Int_Tables_number 1
_symmetry_space_group_name_Hall 'P 1'
_cell_length_a 4.543
_cell_length_b 4.543
_cell_length_c 5.190
_cell_angle_alpha 90.00
_cell_angle_beta 90.00
_cell_angle_gamma 90.00
loop_
_atom_site_label
_atom_site_fract_x
_atom_site_fract_y
_atom_site_fract_z
_atom_site_occupancy
Re1 0.000 0.000 0.000 1
Be1 0.500 0.500 0.500 1
P1 0.000 0.500 0.000 1
P2 0.500 0.000 0.000 1
Cl1 0.000 0.000 0.500 1
```

A plane-wave DFT calculation with GGA-PBE was carried out for a relaxed structure of BePRuCl2.

Geometry as CIF:
```
data_BePRuCl2
_symmetry_space_group_name_H-M 'P 1'
_symmetry_Int_Tables_number 1
_symmetry_space_group_name_Hall 'P 1'
_cell_length_a 3.931
_cell_length_b 3.931
_cell_length_c 7.444
_cell_angle_alpha 90.00
_cell_angle_beta 90.00
_cell_angle_gamma 90.00
loop_
_atom_site_label
_atom_site_fract_x
_atom_site_fract_y
_atom_site_fract_z
_atom_site_occupancy
Ru1 0.500 0.500 0.500 1
Be1 0.000 0.000 0.000 1
P1 0.000 0.000 0.500 1
Cl1 0.000 0.500 0.000 1
Cl2 0.500 0.000 0.000 1
```

A plane-wave DFT calculation with GGA-PBE was carried out for a relaxed structure of BePRuCl2.

Geometry as CIF:
```
data_BePRuCl2
_symmetry_space_group_name_H-M 'P 1'
_symmetry_Int_Tables_number 1
_symmetry_space_group_name_Hall 'P 1'
_cell_length_a 4.883
_cell_length_b 4.883
_cell_length_c 4.489
_cell_angle_alpha 90.00
_cell_angle_beta 90.00
_cell_angle_gamma 90.00
loop_
_atom_site_label
_atom_site_fract_x
_atom_site_fract_y
_atom_site_fract_z
_atom_site_occupancy
Ru1 0.000 0.000 0.000 1
Be1 0.500 0.500 0.500 1
P1 0.000 0.000 0.500 1
Cl1 0.000 0.500 0.000 1
Cl2 0.500 0.000 0.000 1
```

A plane-wave DFT calculation with GGA-PBE was carried out for a relaxed structure of BePS2Cl.

Geometry as CIF:
```
data_BePS2Cl
_symmetry_space_group_name_H-M 'P 1'
_symmetry_Int_Tables_number 1
_symmetry_space_group_name_Hall 'P 1'
_cell_length_a 4.106
_cell_length_b 4.106
_cell_length_c 5.103
_cell_angle_alpha 90.00
_cell_angle_beta 90.00
_cell_angle_gamma 90.00
loop_
_atom_site_label
_atom_site_fract_x
_atom_site_fract_y
_atom_site_fract_z
_atom_site_occupancy
P1 0.000 0.000 0.500 1
S1 0.000 0.500 0.000 1
S2 0.500 0.000 0.000 1
Be1 0.000 0.000 0.000 1
Cl1 0.500 0.500 0.500 1
```

A plane-wave DFT calculation with GGA-PBE was carried out for a relaxed structure of BePS2Cl.

Geometry as CIF:
```
data_BePS2Cl
_symmetry_space_group_name_H-M 'P 1'
_symmetry_Int_Tables_number 1
_symmetry_space_group_name_Hall 'P 1'
_cell_length_a 4.563
_cell_length_b 4.563
_cell_length_c 4.560
_cell_angle_alpha 90.00
_cell_angle_beta 90.00
_cell_angle_gamma 90.00
loop_
_atom_site_label
_atom_site_fract_x
_atom_site_fract_y
_atom_site_fract_z
_atom_site_occupancy
P1 0.000 0.000 0.000 1
S1 0.000 0.500 0.000 1
S2 0.500 0.000 0.000 1
Be1 0.500 0.500 0.500 1
Cl1 0.000 0.000 0.500 1
```

A plane-wave DFT calculation with GGA-PBE was carried out for a relaxed structure of BeP2SCl.

Geometry as CIF:
```
data_BeP2SCl
_symmetry_space_group_name_H-M 'P 1'
_symmetry_Int_Tables_number 1
_symmetry_space_group_name_Hall 'P 1'
_cell_length_a 4.550
_cell_length_b 4.550
_cell_length_c 4.805
_cell_angle_alpha 90.00
_cell_angle_beta 90.00
_cell_angle_gamma 90.00
loop_
_atom_site_label
_atom_site_fract_x
_atom_site_fract_y
_atom_site_fract_z
_atom_site_occupancy
P1 0.000 0.500 0.000 1
P2 0.500 0.000 0.000 1
S1 0.000 0.000 0.000 1
Be1 0.500 0.500 0.500 1
Cl1 0.000 0.000 0.500 1
```

A plane-wave DFT calculation with GGA-PBE was carried out for a relaxed structure of BePS2Cl.

Geometry as CIF:
```
data_BePS2Cl
_symmetry_space_group_name_H-M 'P 1'
_symmetry_Int_Tables_number 1
_symmetry_space_group_name_Hall 'P 1'
_cell_length_a 4.473
_cell_length_b 4.473
_cell_length_c 4.106
_cell_angle_alpha 90.00
_cell_angle_beta 90.00
_cell_angle_gamma 90.00
loop_
_atom_site_label
_atom_site_fract_x
_atom_site_fract_y
_atom_site_fract_z
_atom_site_occupancy
P1 0.500 0.500 0.500 1
S1 0.000 0.500 0.000 1
S2 0.500 0.000 0.000 1
Be1 0.000 0.000 0.000 1
Cl1 0.000 0.000 0.500 1
```

A plane-wave DFT calculation with GGA-PBE was carried out for a relaxed structure of BePS2Cl.

Geometry as CIF:
```
data_BePS2Cl
_symmetry_space_group_name_H-M 'P 1'
_symmetry_Int_Tables_number 1
_symmetry_space_group_name_Hall 'P 1'
_cell_length_a 4.535
_cell_length_b 4.535
_cell_length_c 4.733
_cell_angle_alpha 90.00
_cell_angle_beta 90.00
_cell_angle_gamma 90.00
loop_
_atom_site_label
_atom_site_fract_x
_atom_site_fract_y
_atom_site_fract_z
_atom_site_occupancy
P1 0.000 0.000 0.500 1
S1 0.000 0.500 0.000 1
S2 0.500 0.000 0.000 1
Be1 0.500 0.500 0.500 1
Cl1 0.000 0.000 0.000 1
```

Number 1: total moment 0.000 μB/cell, polymorph energy (0 for the lowest one) 0 meV per atom, VASP energy -3.827 eV/atom. Number 2: total moment 2.001 μB/cell, polymorph energy (0 for the lowest one) 0 meV per atom, VASP energy -3.327 eV/atom. Number 3: total moment 0.000 μB/cell, polymorph energy (0 for the lowest one) 0 meV per atom, VASP energy -3.598 eV/atom. Number 4: total moment 1.930 μB/cell, polymorph energy (0 for the lowest one) 1429 meV per atom, VASP energy -1.897 eV/atom. Number 5: total moment 6.089 μB/cell, polymorph energy (0 for the lowest one) 1641 meV per atom, VASP energy -1.957 eV/atom. Number 6: total moment 1.766 μB/cell, polymorph energy (0 for the lowest one) 282 meV per atom, VASP energy -4.641 eV/atom. Number 7: total moment 0.000 μB/cell, polymorph energy (0 for the lowest one) 0 meV per atom, VASP energy -4.923 eV/atom. Number 8: total moment 2.339 μB/cell, polymorph energy (0 for the lowest one) 0 meV per atom, VASP energy -3.905 eV/atom. Number 9: total moment 0.002 μB/cell, polymorph energy (0 for the lowest one) 117 meV per atom, VASP energy -3.788 eV/atom. Number 10: total moment 0.000 μB/cell, polymorph energy (0 for the lowest one) 148 meV per atom, VASP energy -3.287 eV/atom. Number 11: total moment 0.000 μB/cell, polymorph energy (0 for the lowest one) 270 meV per atom, VASP energy -3.165 eV/atom. Number 12: total moment 0.384 μB/cell, polymorph energy (0 for the lowest one) 595 meV per atom, VASP energy -2.886 eV/atom. Number 13: total moment 0.000 μB/cell, polymorph energy (0 for the lowest one) 0 meV per atom, VASP energy -3.435 eV/atom. Number 14: total moment 0.000 μB/cell, polymorph energy (0 for the lowest one) 1174 meV per atom, VASP energy -2.262 eV/atom.